## SmYHo2Er (PBE)

Data for crystalline SmYHo2Er at its relaxed geometry.

Computed properties:
**ΔE_f**: 39 kJ per mole of atoms
**Space-group type**: Cmcm, No. 63
**M_tot**: 0.0 Bohr magnetons per cell
**DOS at the Fermi energy**: 14.65 states/eV per cell

abc: 7.0792 7.0792 7.2025
angles: 90.00 90.00 107.54
With the nearest neighbours (Å) after each atom.
Positions (direct):
Sm1 0.2254 0.7746 0.7500  1 Y 3.13
Sm2 0.7746 0.2254 0.2500  1 Y 3.13
Y1 0.4993 0.5007 0.7500  1 Sm 3.13, 4 Ho 3.16, 1 Er 3.19
Y2 0.5007 0.4993 0.2500  1 Sm 3.13, 4 Ho 3.16, 1 Er 3.19
Ho1 0.1891 0.1891 0.0000  2 Y 3.16, 1 Ho 3.16, 2 Er 3.48, 2 Sm 3.52
Ho2 0.1891 0.1891 0.5000  2 Y 3.16, 1 Ho 3.16, 2 Er 3.48, 2 Sm 3.52
Ho3 0.8109 0.8109 0.0000  2 Y 3.16, 1 Ho 3.16, 2 Er 3.48, 2 Sm 3.52
Ho4 0.8109 0.8109 0.5000  2 Y 3.16, 1 Ho 3.16, 2 Er 3.48, 2 Sm 3.52
Er1 0.2212 0.7788 0.2500  1 Y 3.19, 4 Ho 3.48
Er2 0.7788 0.2212 0.7500  1 Y 3.19, 4 Ho 3.48